Material: LiCu3Te3
Method: DFT, PBE-GGA
State: relaxed

Structure (POSCAR):
```
LiCu3Te3
1.0
-5.6563 -4.1642 -0.0053
-1.5276 -3.8415 -5.6783
1.6774 -8.2031 0.7543
Te Cu Li
6 6 2
direct
0.5895 0.9206 0.2420
0.4105 0.0794 0.7580
0.7521 0.4105 0.7580
0.0794 0.7521 0.7580
0.9206 0.2479 0.2420
0.2479 0.5895 0.2420
0.1362 0.4719 0.5954
0.7965 0.1362 0.5954
0.5281 0.2035 0.4046
0.4719 0.7965 0.5954
0.8638 0.5281 0.4046
0.2035 0.8638 0.4046
0.6656 0.6656 0.0032
0.3344 0.3344 0.9968
```

Space-group type: R-3 (148)
E_form (uncorrected): -1.69 eV per formula unit



Material: Mn3GePd6
Method: DFT, PBE-GGA
State: relaxed

Structure (POSCAR):
```
Mn3GePd6
1.0
4.5364 0.0000 0.0000
0.0000 6.9811 -2.5949
0.0000 -0.1742 9.6624
Ge Pd Mn
2 12 6
direct
0.7500 0.0541 0.4083
0.2500 0.9459 0.5917
0.2500 0.8540 0.2997
0.2500 0.6566 0.6770
0.7500 0.8445 0.8262
0.7500 0.7530 0.5082
0.2500 0.0715 0.8690
0.2500 0.1555 0.1738
0.7500 0.5351 0.9197
0.2500 0.2470 0.4918
0.2500 0.4649 0.0803
0.7500 0.1460 0.7003
0.7500 0.9285 0.1310
0.7500 0.3434 0.3230
0.2500 0.7777 0.9849
0.2500 0.3715 0.7878
0.7500 0.6285 0.2122
0.7500 0.4634 0.6206
0.7500 0.2223 0.0151
0.2500 0.5366 0.3794
```

Space-group type: P2_1/m (11)
E_form: -0.273 eV/atom



Material: CrS3Br
Method: DFT, PBE-GGA
State: relaxed

Structure (POSCAR):
```
CrS3Br
1.0
4.5187 0.0000 0.0000
0.0000 4.5187 0.0000
0.0000 0.0000 4.5187
S Cr Br
3 1 1
direct
0.5000 0.0000 0.0000
0.0000 0.5000 0.0000
0.0000 0.0000 0.5000
0.0000 0.0000 0.0000
0.5000 0.5000 0.5000
```

Space-group type: Pm-3m (221)
E_form (uncorrected): 1.37 eV per formula unit



Material: LiCa5Al
Method: DFT, PBE-GGA
State: relaxed

Structure (POSCAR):
```
LiCa5Al
1.0
6.7072 -0.8836 -1.0475
1.2899 6.6411 -1.0475
2.0510 1.4766 10.4078
Ca Li Al
10 2 2
direct
0.7390 0.5779 0.4977
0.5779 0.7390 0.9977
0.1614 0.8386 0.7500
0.0503 0.6151 0.1796
0.4221 0.2610 0.0023
0.3849 0.9497 0.3204
0.9497 0.3849 0.8204
0.8386 0.1614 0.2500
0.2610 0.4221 0.5023
0.6151 0.0503 0.6796
0.0000 0.0000 0.0000
0.0000 0.0000 0.5000
0.4954 0.5046 0.7500
0.5046 0.4954 0.2500
```

Space-group type: C2/c (15)
E_form: 0.044 eV/atom



Material: TiNb2CrN
Method: DFT, PBE-GGA
State: relaxed

Structure (POSCAR):
```
TiNb2CrN
1.0
4.3387 0.0000 0.0000
0.0000 3.8681 0.0000
0.0000 0.0000 4.3387
N Nb Ti Cr
1 2 1 1
direct
0.0000 0.0000 0.0000
0.5000 0.0000 0.0000
0.0000 0.0000 0.5000
0.0000 0.5000 0.0000
0.5000 0.5000 0.5000
```

Space-group type: P4/mmm (123)
E_form (uncorrected): -1.88 eV per formula unit



Material: RbY3Tc
Method: DFT, PBE-GGA
State: relaxed

Structure (POSCAR):
```
RbY3Tc
1.0
-2.0949 4.5331 -1.7875
-4.2123 -2.6628 -1.8162
-2.4496 0.7022 4.6517
Y Rb Tc
3 1 1
direct
0.5000 0.0000 0.0000
0.0000 0.0000 0.5000
0.0000 0.5000 0.0000
0.0000 0.0000 0.0000
0.5000 0.5000 0.5000
```

Space-group type: Pm-3m (221)
E_form: 1.907 eV/atom



Material: VOs2Ru
Method: DFT, PBE-GGA
State: relaxed

Structure (POSCAR):
```
VOs2Ru
1.0
3.8308 0.0000 0.0000
0.0000 3.8274 0.0000
0.0000 0.0000 3.8274
Os V Ru
2 1 1
direct
0.0000 0.0000 0.5000
0.0000 0.5000 0.0000
0.5000 0.5000 0.5000
0.5000 0.0000 0.0000
```

Space-group type: P4/mmm (123)
E_form: -0.072 eV/atom



Material: AcTb2Pr3Se6
Method: DFT, PBE-GGA
State: relaxed

Structure (POSCAR):
```
AcTb2Pr3Se6
1.0
-5.1684 5.2251 0.2545
-1.8873 -7.0910 0.4856
3.0173 0.9289 6.6594
Se Tb Pr Ac
6 2 3 1
direct
0.7291 0.7291 0.2371
0.2709 0.2709 0.7629
0.4314 0.0819 0.2459
0.9181 0.5686 0.7541
0.5686 0.9181 0.7541
0.0819 0.4314 0.2459
0.3327 0.6673 0.0000
0.6673 0.3327 0.0000
0.8416 0.1584 0.5000
0.1584 0.8416 0.5000
0.5000 0.5000 0.5000
0.0000 0.0000 0.0000
```

Space-group type: C2/m (12)
E_form (uncorrected): -21.76 eV per formula unit



Material: KSrY2
Method: DFT, PBE-GGA
State: relaxed

Structure (POSCAR):
```
KSrY2
1.0
7.5621 -0.0006 0.0053
3.9667 6.4382 -0.0053
-5.0154 -4.5602 3.3520
Y K Sr
2 1 1
direct
0.9995 0.9995 0.0000
0.5005 0.5005 0.0000
0.2500 0.7500 0.5000
0.7500 0.2500 0.5000
```

Space-group type: Immm (71)
E_form: 0.417 eV/atom



Material: Tl4SbSe
Method: DFT, PBE-GGA
State: relaxed

Structure (POSCAR):
```
Tl4SbSe
1.0
1.1354 -1.5297 -7.0794
6.8120 -1.5926 3.1062
-6.2176 -5.6847 3.1924
Sb Tl Se
2 8 2
direct
0.6105 0.8604 0.2209
0.3896 0.1396 0.7791
0.4587 0.2123 0.4578
0.0009 0.2545 0.5422
0.7812 0.5439 0.9970
0.5413 0.7877 0.5422
0.2159 0.9531 0.9970
0.7841 0.0469 0.0030
0.2188 0.4561 0.0030
0.9991 0.7455 0.4578
0.1600 0.4100 0.3199
0.8400 0.5900 0.6801
```

Space-group type: C2/c (15)
E_form (uncorrected): -0.68 eV per formula unit



Material: Li2PrI6
Method: DFT, PBE-GGA
State: relaxed

Structure (POSCAR):
```
Li2PrI6
1.0
4.7111 0.0000 0.0000
2.3556 7.4273 0.4242
2.3556 3.6122 11.1959
I Pr Li
6 1 2
direct
0.0355 0.1769 0.7521
0.6696 0.7127 0.9482
0.6515 0.2839 0.4131
0.3304 0.2873 0.0518
0.9645 0.8231 0.2479
0.3485 0.7161 0.5869
0.0000 0.5000 0.5000
0.2029 0.7737 0.8206
0.7971 0.2263 0.1794
```

Space-group type: C2/m (12)
E_form (uncorrected): -9.26 eV per formula unit



Material: CaLa2Pt
Method: DFT, PBE-GGA
State: relaxed

Structure (POSCAR):
```
CaLa2Pt
1.0
-2.9821 -2.5477 1.3369
2.0260 -2.1724 -6.0406
6.5403 -5.4717 4.1614
La Pt Ca
4 2 2
direct
0.3582 0.7163 0.5594
0.6418 0.2837 0.0594
0.3582 0.7163 0.9406
0.6418 0.2837 0.4406
0.7648 0.5295 0.7500
0.2352 0.4705 0.2500
0.9282 0.8569 0.2500
0.0718 0.1431 0.7500
```

Space-group type: Cmcm (63)
E_form: -0.586 eV/atom



no.,theoretical density (g cm⁻³),E_tot (eV per cell)
1,6.1,-50.64
2,9.6,-132.02
3,4.1,-22.31
4,1.6,-30.71
5,6.8,-47.87
6,5.0,-21.19
7,15.8,-41.14
8,7.4,-70.37
9,3.1,-14.04
10,8.0,-35.51
11,4.0,-27.16
12,6.8,-40.48